12
Lattice="4.362 0.000 0.000 0.902 5.304 0.000 0.656 1.247 7.477" Properties=species:S:1:pos:R:3 comment="PBE with a Hubbard U La2NpNiO8, optimized geometry" space_group="No. 2" volume_a3_per_atom=14.42 e_tot_ev_per_atom=-7.943 pbc="T T T"
La 0.393 0.605 1.736
La 5.528 5.946 5.741
Np 2.960 3.276 3.738
Ni 2.632 2.652 0.000
O 1.370 4.461 3.815
O 1.502 4.039 0.285
O 2.419 1.981 5.041
O 2.511 2.077 1.825
O 3.410 4.474 5.651
O 3.502 4.570 2.435
O 4.419 2.512 7.192
O 4.550 2.090 3.662